This record from Alexandria describes BeAg2Os after structural relaxation. The functional is GGA-PBE.

Lattice parameters (Å, degrees): 4.918 4.918 4.956 70.40 70.40 31.52
Sites, in units of the cell vectors:
Be: 0.503 0.503 0.570
Os: 0.781 0.781 0.683
Ag: 0.996 0.996 0.011
Ag: 0.219 0.219 0.236

## Properties
Symmetry: Cm (8)
Calculated total energy: -18.76 eV for the cell shown
Total moment: 0.00 μB per cell
Formation energy from the elements: 0.476 eV per atom